DFT (PBE+U) results for a geometry-optimized Ce6WO12 structure.

a b c (Å): 6.699 6.699 6.699
angles (deg): 99.42 99.42 99.42
Fractional coordinates of all 19 atoms:
O (0.688, 0.935, 0.065)
O (0.312, 0.065, 0.935)
O (0.586, 0.177, 0.435)
O (0.414, 0.823, 0.565)
O (0.935, 0.065, 0.688)
O (0.177, 0.435, 0.586)
O (0.935, 0.312, 0.065)
O (0.065, 0.935, 0.312)
O (0.065, 0.688, 0.935)
O (0.565, 0.414, 0.823)
O (0.435, 0.586, 0.177)
O (0.823, 0.565, 0.414)
Ce (0.708, 0.865, 0.401)
Ce (0.135, 0.599, 0.292)
Ce (0.401, 0.708, 0.865)
Ce (0.599, 0.292, 0.135)
Ce (0.865, 0.401, 0.708)
Ce (0.292, 0.135, 0.599)
W (0.000, 0.000, 0.000)

Summary:
SG: R-3, No. 148
E: -8.627 eV/atom
V: 15.1 Å³ per atom